Entry 1:
Material: PF
Method: DFT, PBE
State: relaxed

Output
- Size of the total moment: 0.0 Bohr magnetons per cell
- DOS(E_F): 0.5 states/eV per cell
- VASP energy: -4.899 eV/atom
- Formation energy without anion corrections: -1.26 eV per atom

a = 7.769 Å, b = 6.145 Å, c = 4.855 Å
α = 90.00°, β = 90.00°, γ = 90.00°
Fractional positions:
P 0.000 0.221 0.000
P 0.232 0.004 0.950
P 0.268 0.996 0.450
P 0.500 0.779 0.500
P 0.732 0.996 0.450
P 0.768 0.004 0.950
F 0.000 0.334 0.694
F 0.173 0.750 0.946
F 0.327 0.250 0.446
F 0.500 0.666 0.194
F 0.673 0.250 0.446
F 0.827 0.750 0.946

=====

Entry 2:
Material: PF
Method: DFT, PBE
State: relaxed

Output
- Size of the total moment: 0.0 Bohr magnetons per cell
- DOS(E_F): 0.0 states/eV per cell
- VASP energy: -4.796 eV/atom
- Formation energy without anion corrections: -1.16 eV per atom

a = 3.979 Å, b = 11.585 Å, c = 8.380 Å
α = 90.00°, β = 90.00°, γ = 90.00°
Fractional positions:
P 0.250 0.168 0.201
P 0.250 0.332 0.201
P 0.250 0.750 0.321
P 0.750 0.250 0.679
P 0.750 0.668 0.799
P 0.750 0.832 0.799
F 0.250 0.250 0.683
F 0.250 0.646 0.199
F 0.250 0.854 0.199
F 0.750 0.146 0.801
F 0.750 0.354 0.801
F 0.750 0.750 0.317

=====

Entry 3:
Material: PF4
Method: DFT, PBE
State: relaxed

Output
- Size of the total moment: 2.0 Bohr magnetons per cell
- VASP energy: -4.785 eV/atom
- Formation energy without anion corrections: -2.21 eV per atom

a = 5.295 Å, b = 5.295 Å, c = 9.175 Å
α = 112.20°, β = 112.20°, γ = 49.14°
Fractional positions:
P 0.105 0.895 0.750
P 0.895 0.105 0.250
F 0.071 0.170 0.436
F 0.170 0.071 0.936
F 0.223 0.565 0.791
F 0.435 0.777 0.709
F 0.565 0.223 0.291
F 0.777 0.435 0.209
F 0.830 0.929 0.064
F 0.929 0.830 0.564

=====

Entry 4:
Material: PF
Method: DFT, PBE
State: relaxed

Output
- Size of the total moment: 0.0 Bohr magnetons per cell
- VASP energy: -4.171 eV/atom
- Formation energy without anion corrections: -0.53 eV per atom

a = 5.829 Å, b = 5.829 Å, c = 5.675 Å
α = 90.00°, β = 90.00°, γ = 90.00°
Fractional positions:
P 0.117 0.117 0.000
P 0.383 0.617 0.500
P 0.617 0.383 0.500
P 0.883 0.883 0.000
F 0.227 0.773 0.000
F 0.273 0.273 0.500
F 0.727 0.727 0.500
F 0.773 0.227 0.000

=====

Entry 5:
Material: PF
Method: DFT, PBE
State: relaxed

Output
- Size of the total moment: 0.0 Bohr magnetons per cell
- DOS(E_F): 8.7 states/eV per cell
- VASP energy: -3.073 eV/atom
- Formation energy without anion corrections: 0.57 eV per atom

a = 6.531 Å, b = 6.531 Å, c = 6.531 Å
α = 90.00°, β = 90.00°, γ = 90.00°
Fractional positions:
P 0.000 0.250 0.500
P 0.000 0.750 0.500
P 0.250 0.500 0.000
P 0.500 0.000 0.250
P 0.500 0.000 0.750
P 0.750 0.500 0.000
F 0.000 0.500 0.250
F 0.000 0.500 0.750
F 0.250 0.000 0.500
F 0.500 0.250 0.000
F 0.500 0.750 0.000
F 0.750 0.000 0.500

=====

Entry 6:
Material: PF
Method: DFT, PBE
State: relaxed

Output
- Size of the total moment: 0.0 Bohr magnetons per cell
- DOS(E_F): 0.0 states/eV per cell
- VASP energy: -4.946 eV/atom
- Formation energy without anion corrections: -1.31 eV per atom

a = 3.266 Å, b = 5.023 Å, c = 5.609 Å
α = 78.19°, β = 89.94°, γ = 71.13°
Fractional positions:
P 0.000 0.000 0.000
P 0.444 0.114 0.734
F 0.173 0.651 0.103
F 0.557 0.886 0.553

=====

Entry 7:
Material: PF3
Method: DFT, PBE
State: relaxed

Output
- Size of the total moment: 0.0 Bohr magnetons per cell
- DOS(E_F): 0.0 states/eV per cell
- VASP energy: -3.554 eV/atom
- Formation energy without anion corrections: -0.80 eV per atom

a = 3.768 Å, b = 3.768 Å, c = 3.768 Å
α = 60.00°, β = 60.00°, γ = 60.00°
Fractional positions:
P 0.000 0.000 0.000
F 0.250 0.250 0.250
F 0.500 0.500 0.500
F 0.750 0.750 0.750

=====

Entry 8:
Material: PF3
Method: DFT, PBE
State: relaxed

Output
- Size of the total moment: 0.0 Bohr magnetons per cell
- DOS(E_F): 0.0 states/eV per cell
- VASP energy: -3.673 eV/atom
- Formation energy without anion corrections: -0.92 eV per atom

a = 6.943 Å, b = 6.943 Å, c = 6.943 Å
α = 146.59°, β = 146.59°, γ = 47.97°
Fractional positions:
P 0.000 0.000 0.000
P 0.750 0.250 0.500
F 0.004 0.625 0.879
F 0.250 0.750 0.500
F 0.375 0.254 0.379
F 0.500 0.500 0.000
F 0.746 0.125 0.121
F 0.875 0.996 0.621